# MoRuNF2

Crystalline MoRuNF2 at its relaxed geometry (GGA+U, the Alexandria database).

Cell: 4.1896 4.1896 4.0661 Å, 90.00 90.00 90.00°
Last column: nearest neighbours and their distance in Å.
Fractional positions:
Mo: 0.0000 0.0000 0.0000  2 N 2.03, 4 F 2.09
Ru: 0.5000 0.5000 0.5000  8 F 2.92, 4 N 2.96
N: 0.0000 0.0000 0.5000  2 Mo 2.03
F: 0.0000 0.5000 0.0000  2 Mo 2.09
F: 0.5000 0.0000 0.0000  2 Mo 2.09

Values from the calculation:
E above lowest polymorph ... 136 meV/atom
Mass density ... 5.8 g/cm³